AcNdDyY | Alexandria via LeMat-Bulk | GGA-PBE | optimized geometry; DFT total energy = -4.9301 eV/atom; ΔH_f (0 K) = 0.055 eV/atom; offset from the most stable computed form = 0.0000 eV per atom; M_tot = 0.0 μB/cell; calculated volume = 35.83 Å³ per atom
1.0
6.4325 0.0000 0.0000
0.0000 3.7096 0.0000
-2.1363 0.0000 12.0123
Ac Nd Dy Y
2 2 2 2
Direct
0.0000 0.0000 0.0000 Ac
0.5000 0.5000 0.0000 Ac
0.2434 0.0000 0.7328 Nd
0.7434 0.5000 0.7328 Nd
0.3312 0.5000 0.4931 Dy
0.8312 0.0000 0.4931 Dy
0.4174 0.0000 0.2572 Y
0.9174 0.5000 0.2572 Y